Entry from Alexandria via LeMat-Bulk: a relaxed structure of Mg5Cd2In4 (PBE-GGA).

Cell: 4.8347 4.8347 16.2231 Å, 81.43 81.43 60.00°
Atoms (fractional coordinates):
Mg (0.8010, 0.8010, 0.5969)
Mg (0.1990, 0.1990, 0.4031)
Cd (0.8681, 0.8681, 0.3958)
Mg (0.5000, 0.5000, 0.5000)
Cd (0.1319, 0.1319, 0.6042)
Mg (0.3782, 0.3782, 0.8655)
In (0.3167, 0.3167, 0.0498)
In (0.4370, 0.4370, 0.6889)
In (0.6833, 0.6833, 0.9502)
In (0.5630, 0.5630, 0.3111)
Mg (0.6218, 0.6218, 0.1345)

## Properties
The value obtained for the formation energy is 101 meV/atom. The density of states at the Fermi level is 0.576 states/eV/atom. The uncorrected energy comes out at -1.786 eV per atom. The symmetry is R-3m, No. 166. As for the total moment: 0.0 μB per formula unit.



Entry from Alexandria via LeMat-Bulk: a relaxed structure of Ba4RuPb (PBE-GGA).

Cell: 6.9836 6.9836 6.9836 Å, 60.00 60.00 60.00°
Last column: magnetic moment on the atom in μB.
Atoms (fractional coordinates):
Ba (0.3750, 0.8751, 0.3750)  -0.09
Pb (0.7500, 0.7500, 0.7500)  0.05
Ba (0.8751, 0.3750, 0.3750)  -0.09
Ba (0.3750, 0.3750, 0.8751)  -0.09
Ba (0.3750, 0.3750, 0.3750)  -0.09
Ru (0.0000, 0.0000, 0.0000)  1.83

## Properties
The value obtained for the formation energy is 832 meV/atom. The density of states at the Fermi level is 1.764 states/eV/atom. The uncorrected energy comes out at -2.614 eV per atom. The symmetry is F-43m, No. 216. As for the total moment: 1.3 μB per formula unit.